1.
SrTm3Pb3 | GGA-PBE | optimized geometry

Geometry as extended XYZ:
```
14
Lattice="8.346 0.000 0.000 0.000 8.346 0.000 0.000 0.000 8.346" Properties=species:S:1:pos:R:3 pbc="T T T"
Tm 2.086 4.173 0.000
Tm 6.259 4.173 0.000
Tm 4.173 0.000 2.086
Tm 0.000 2.086 4.173
Tm 4.173 0.000 6.259
Tm 0.000 6.259 4.173
Pb 6.259 0.000 4.173
Pb 4.173 6.259 0.000
Pb 0.000 4.173 6.259
Pb 2.086 0.000 4.173
Pb 4.173 2.086 0.000
Pb 0.000 4.173 2.086
Sr 4.173 4.173 4.173
Sr 0.000 0.000 0.000
```

Values from the calculation:
- D(E_F) (states/eV/cell) = 12.3
- calculated density (Mg/m³) = 6.9
- size of the total moment (μB per cell) = 0.00
- energy of formation from the pure elements (eV per atom) = 0.083

2.
SrTmPb | GGA-PBE | optimized geometry

Geometry as extended XYZ:
```
6
Lattice="4.922 -0.237 -0.002 0.237 4.922 -0.002 0.002 0.002 8.612" Properties=species:S:1:pos:R:3 pbc="T T T"
Pb 4.210 4.072 1.377
Pb 1.631 1.730 5.845
Sr 4.210 4.072 4.896
Sr 1.631 1.730 2.326
Tm 1.751 4.192 7.917
Tm 4.093 1.613 7.917
```

Values from the calculation:
- D(E_F) (states/eV/cell) = 2.4
- calculated density (Mg/m³) = 7.4
- size of the total moment (μB per cell) = 2.01
- energy of formation from the pure elements (eV per atom) = -0.432

3.
SrTmPb6 | GGA-PBE | optimized geometry

Geometry as extended XYZ:
```
8
Lattice="4.991 0.000 0.000 0.000 4.991 0.000 0.000 0.000 9.710" Properties=species:S:1:pos:R:3 pbc="T T T"
Pb 2.496 2.496 0.000
Pb 2.496 0.000 7.188
Pb 0.000 2.496 2.522
Pb 2.496 0.000 2.522
Pb 2.496 2.496 4.855
Pb 0.000 2.496 7.188
Tm 0.000 0.000 4.855
Sr 0.000 0.000 0.000
```

Values from the calculation:
- D(E_F) (states/eV/cell) = 4.1
- calculated density (Mg/m³) = 10.3
- size of the total moment (μB per cell) = 0.00
- energy of formation from the pure elements (eV per atom) = -0.294

4.
SrTmPb2 | GGA-PBE | optimized geometry

Geometry as extended XYZ:
```
4
Lattice="4.058 0.000 0.000 0.000 4.058 0.000 0.000 0.000 7.623" Properties=species:S:1:pos:R:3 pbc="T T T"
Tm 2.029 2.029 0.000
Pb 0.000 0.000 5.956
Pb 0.000 0.000 1.668
Sr 2.029 2.029 3.812
```

Values from the calculation:
- D(E_F) (states/eV/cell) = 2.4
- calculated density (Mg/m³) = 8.9
- size of the total moment (μB per cell) = 0.00
- energy of formation from the pure elements (eV per atom) = -0.432

5.
Sr2TmPb9 | GGA-PBE | optimized geometry

Geometry as extended XYZ:
```
12
Lattice="-3.871 3.030 -0.854 -2.611 -3.846 -1.813 -5.225 -2.850 13.572" Properties=species:S:1:pos:R:3 pbc="T T T"
Pb -6.736 -2.314 7.746
Pb -4.548 0.090 6.359
Pb -5.701 -4.320 10.510
Pb -2.135 -2.376 1.249
Pb -3.241 -0.408 -1.333
Pb -2.765 1.063 1.728
Pb -3.918 -3.348 5.879
Pb -4.970 -1.351 3.159
Pb -6.331 -0.882 10.990
Sr -3.513 -1.916 9.125
Sr -1.712 -0.934 4.447
Tm 0.000 0.000 0.000
```

Values from the calculation:
- D(E_F) (states/eV/cell) = 4.6
- calculated density (Mg/m³) = 9.9
- size of the total moment (μB per cell) = 0.00
- energy of formation from the pure elements (eV per atom) = -0.314

6.
SrTm2Pb2 | GGA-PBE | optimized geometry

Geometry as extended XYZ:
```
10
Lattice="7.976 0.895 0.532 4.619 6.598 -0.221 4.503 -0.222 7.612" Properties=species:S:1:pos:R:3 pbc="T T T"
Pb 12.880 6.401 5.473
Pb 8.040 3.022 1.564
Pb 9.059 4.249 6.358
Pb 4.218 0.870 2.450
Tm 7.698 5.083 3.771
Tm 6.711 5.966 0.328
Tm 10.388 1.305 7.595
Tm 9.400 2.188 4.152
Sr 11.451 5.163 2.587
Sr 5.648 2.108 5.336
```

Values from the calculation:
- D(E_F) (states/eV/cell) = 2.1
- calculated density (Mg/m³) = 7.9
- size of the total moment (μB per cell) = 0.00
- energy of formation from the pure elements (eV per atom) = -0.315